Record 1
# Hf2HI, single point on PBEsol structure, DFT meta-GGA SCAN
# - Final energy: -41.104 eV per atom
# - Fermi-level density of states: 6.8 states/eV per cell
# - Space-group type: I-42d (122)
# - Total magnetization: 0.00 μB/f.u.
data_Hf2HI
_cell_length_a 5.476
_cell_length_b 5.476
_cell_length_c 6.502
_cell_angle_alpha 114.91
_cell_angle_beta 114.91
_cell_angle_gamma 90.00
_space_group_name_H-M_alt 'P 1'
_space_group_IT_number 1
_space_group_name_Hall 'P 1'
loop_
_atom_site_label
_atom_site_type_symbol
_atom_site_fract_x
_atom_site_fract_y
_atom_site_fract_z
Hf1 Hf 0.625 0.485 0.750
Hf2 Hf 0.735 0.375 0.250
Hf3 Hf 0.125 0.265 0.750
Hf4 Hf 0.515 0.875 0.250
H1 H 0.750 0.250 0.500
H2 H 0.500 0.500 0.000
I1 I 0.250 0.750 0.500
I2 I 0.000 0.000 0.000

Record 2
# CoBiBr3, single point on PBEsol structure, DFT meta-GGA SCAN
# - Final energy: -30.926 eV per atom
# - Fermi-level density of states: 2.2 states/eV per cell
# - Space-group type: Pm-3m (221)
# - Total magnetization: 1.66 μB/f.u.
data_CoBiBr3
_cell_length_a 4.803
_cell_length_b 4.803
_cell_length_c 4.803
_cell_angle_alpha 90.00
_cell_angle_beta 90.00
_cell_angle_gamma 90.00
_space_group_name_H-M_alt 'P 1'
_space_group_IT_number 1
_space_group_name_Hall 'P 1'
loop_
_atom_site_label
_atom_site_type_symbol
_atom_site_fract_x
_atom_site_fract_y
_atom_site_fract_z
Bi1 Bi 0.500 0.500 0.500
Co1 Co 0.000 0.000 0.000
Br1 Br 0.000 0.500 0.000
Br2 Br 0.000 0.000 0.500
Br3 Br 0.500 0.000 0.000

Record 3
# TlBiF2, single point on PBEsol structure, DFT meta-GGA SCAN
# - Final energy: -40.793 eV per atom
# - Fermi-level density of states: 2.7 states/eV per cell
# - Space-group type: I-42d (122)
# - Total magnetization: 0.00 μB/f.u.
data_TlBiF2
_cell_length_a 5.934
_cell_length_b 5.934
_cell_length_c 5.934
_cell_angle_alpha 106.65
_cell_angle_beta 106.65
_cell_angle_gamma 115.27
_space_group_name_H-M_alt 'P 1'
_space_group_IT_number 1
_space_group_name_Hall 'P 1'
loop_
_atom_site_label
_atom_site_type_symbol
_atom_site_fract_x
_atom_site_fract_y
_atom_site_fract_z
F1 F 0.625 0.666 0.541
F2 F 0.916 0.375 0.041
F3 F 0.334 0.875 0.959
F4 F 0.125 0.084 0.459
Bi1 Bi 0.250 0.750 0.500
Bi2 Bi 0.000 0.000 0.000
Tl1 Tl 0.750 0.250 0.500
Tl2 Tl 0.500 0.500 0.000